(1)
# AcPmDy6Ho2

A relaxed structure of AcPmDy6Ho2 (GGA-PBE, Alexandria via LeMat-Bulk).

abc: 9.2390 15.2487 9.5585
angles: 90.00 95.16 90.00
Space group C2/c (No. 15)
Symmetry-distinct sites (fractional):
Ac (0.0000, 0.0317, 0.2500)
Pm (0.0000, 0.4107, 0.7500)
Dy (0.0626, 0.1871, 0.9424)
Dy (0.0996, 0.3891, 0.1164)
Dy (0.2130, 0.2310, 0.3211)
Ho (0.2441, 0.4435, 0.4512)

Properties
Calculated formation energy (eV per atom): 0.13
E_tot (eV/atom): -4.43

(2)
# AcPmDy4Ho2

A relaxed structure of AcPmDy4Ho2 (GGA-PBE, Alexandria via LeMat-Bulk).

abc: 5.1021 5.1278 10.1553
angles: 90.00 90.00 90.00
Space group Pmmm (No. 47)
Symmetry-distinct sites (fractional):
Ac (0.0000, 0.0000, 0.0000)
Pm (0.5000, 0.5000, 0.5000)
Dy (0.0000, 0.5000, 0.2566)
Dy (0.5000, 0.0000, 0.2575)
Ho (0.0000, 0.0000, 0.5000)
Ho (0.5000, 0.5000, 0.0000)

Properties
Calculated formation energy (eV per atom): 0.04
E_tot (eV/atom): -4.51

(3)
# AcPrDy3Ho

A relaxed structure of AcPrDy3Ho (GGA-PBE, Alexandria via LeMat-Bulk).

abc: 19.7632 5.7282 7.4528
angles: 90.00 90.85 90.00
Space group C2/m (No. 12)
Symmetry-distinct sites (fractional):
Ac (0.1433, 0.0000, 0.0251)
Pr (0.0502, 0.5000, 0.2840)
Dy (0.0223, 0.0000, 0.7141)
Dy (0.1670, 0.5000, 0.7185)
Dy (0.2187, 0.5000, 0.2500)
Ho (0.1527, 0.0000, 0.4599)

Properties
Calculated formation energy (eV per atom): 0.22
E_tot (eV/atom): -4.32

(4)
# AcPr3DyHo

A relaxed structure of AcPr3DyHo (GGA-PBE, Alexandria via LeMat-Bulk).

abc: 8.2466 5.2564 10.5003
angles: 90.00 108.66 90.00
Space group P2_1/m (No. 11)
Symmetry-distinct sites (fractional):
Ac (0.1726, 0.2500, 0.2926)
Pr (0.1733, 0.7500, 0.5471)
Pr (0.1748, 0.2500, 0.7939)
Pr (0.1746, 0.7500, 0.0399)
Dy (0.4975, 0.2500, 0.6282)
Ho (0.4967, 0.7500, 0.8773)

Properties
Calculated formation energy (eV per atom): 0.04
E_tot (eV/atom): -4.57

(5)
# AcPr2Dy4Ho

A relaxed structure of AcPr2Dy4Ho (GGA-PBE, Alexandria via LeMat-Bulk).

abc: 13.8623 13.4696 6.9329
angles: 90.00 119.99 90.00
Space group C2/c (No. 15)
Symmetry-distinct sites (fractional):
Ac (0.2500, 0.2500, 0.0000)
Pr (0.0000, 0.0000, 0.0000)
Pr (0.2500, 0.2500, 0.5000)
Dy (0.9999, 0.2566, 0.0123)
Dy (0.2434, 0.4920, 0.4920)
Ho (0.0000, 0.5000, 0.0000)

Properties
Calculated formation energy (eV per atom): 0.42
E_tot (eV/atom): -4.16

(6)
# AcPr4Dy2Ho

A relaxed structure of AcPr4Dy2Ho (GGA-PBE, Alexandria via LeMat-Bulk).

abc: 11.6167 5.2171 10.4578
angles: 90.00 116.75 90.00
Space group C2/m (No. 12)
Symmetry-distinct sites (fractional):
Ac (0.0000, 0.0000, 0.0000)
Pr (0.2470, 0.0000, 0.8689)
Pr (0.2483, 0.5000, 0.6213)
Dy (0.0008, 0.5000, 0.7432)
Ho (0.0000, 0.0000, 0.5000)

Properties
Calculated formation energy (eV per atom): 0.03
E_tot (eV/atom): -4.59

(7)
# AcPr5DyHo2

A relaxed structure of AcPr5DyHo2 (GGA-PBE, Alexandria via LeMat-Bulk).

abc: 5.6003 24.5950 9.5643
angles: 90.00 90.00 90.00
Space group Cmc2_1 (No. 36)
Symmetry-distinct sites (fractional):
Ac (0.0000, 0.1024, 0.0000)
Pr (0.0000, 0.0245, 0.3291)
Pr (0.0000, 0.1069, 0.6063)
Pr (0.0000, 0.1896, 0.2963)
Pr (0.0000, 0.2410, 0.9328)
Pr (0.0000, 0.4903, 0.1124)
Dy (0.0000, 0.2643, 0.6074)
Ho (0.0000, 0.3256, 0.2483)
Ho (0.0000, 0.3878, 0.8599)

Properties
Calculated formation energy (eV per atom): 0.14
E_tot (eV/atom): -4.50

(8)
# Ac2Pr4DyHo

A relaxed structure of Ac2Pr4DyHo (GGA-PBE, Alexandria via LeMat-Bulk).

abc: 6.3974 3.7614 12.4661
angles: 90.00 100.34 90.00
Space group P2/m (No. 10)
Symmetry-distinct sites (fractional):
Ac (0.0000, 0.0000, 0.0000)
Ac (0.0000, 0.5000, 0.5000)
Pr (0.2550, 0.0000, 0.7534)
Pr (0.2546, 0.5000, 0.2529)
Dy (0.5000, 0.0000, 0.5000)
Ho (0.5000, 0.5000, 0.0000)

Properties
Calculated formation energy (eV per atom): 0.04
E_tot (eV/atom): -4.53